Entry from Alexandria: a relaxed HgCl crystal (PBEsol).

Cell lengths 4.400, 4.400, 6.301 Å; angles 110.43, 110.43, 90.00 degrees
Fractional coordinates of all 4 atoms:
Hg  0.117  0.117  0.234
Hg  0.883  0.883  0.766
Cl  0.660  0.660  0.320
Cl  0.340  0.340  0.680

Output
E_form (uncorrected) (eV per atom): -0.510
Energy above the lowest structure with this stoichiometry (meV/atom): 0.0
Symmetry: I4/mmm
Crystal system: tetragonal
Total energy (eV for the cell shown): -7.191

Entry from Alexandria: a relaxed HgCl3 crystal (PBEsol).

Cell lengths 4.901, 4.903, 4.903 Å; angles 70.52, 70.54, 109.46 degrees
Fractional coordinates of all 4 atoms:
Cl  0.000  0.000  0.500
Cl  0.500  0.500  0.500
Cl  0.000  0.500  0.000
Hg  0.500  0.000  0.000

Output
E_form (uncorrected) (eV per atom): 0.082
Symmetry: Im-3m
Crystal system: cubic
Total energy (eV for the cell shown): -6.262

Entry from Alexandria: a relaxed Hg3Cl crystal (PBEsol).

Cell lengths 4.003, 4.003, 7.657 Å; angles 74.85, 74.85, 60.00 degrees
Fractional coordinates of all 4 atoms:
Hg  0.752  0.752  0.745
Hg  0.248  0.248  0.255
Hg  0.500  0.500  0.500
Cl  0.000  0.000  0.000

Output
E_form (uncorrected) (eV per atom): -0.190
Energy above the lowest structure with this stoichiometry (meV/atom): 0.0
Symmetry: R-3m
Crystal system: trigonal
Total energy (eV for the cell shown): -4.469

Entry from Alexandria: a relaxed HgCl crystal (PBEsol).

Cell lengths 4.113, 4.113, 4.131 Å; angles 60.14, 60.14, 60.00 degrees
Fractional coordinates of all 2 atoms:
Hg  0.500  0.500  0.500
Cl  0.000  0.000  0.000

Output
E_form (uncorrected) (eV per atom): -0.185
Energy above the lowest structure with this stoichiometry (meV/atom): 325.8
Symmetry: R-3m
Crystal system: trigonal
Total energy (eV for the cell shown): -2.944

Entry from Alexandria: a relaxed HgCl2 crystal (PBEsol).

Cell lengths 3.835, 6.112, 6.627 Å; angles 90.00, 90.00, 90.00 degrees
Fractional coordinates of all 6 atoms:
Hg  0.500  0.500  0.500
Hg  0.000  0.000  0.000
Cl  0.000  0.739  0.355
Cl  0.500  0.239  0.145
Cl  0.500  0.761  0.855
Cl  0.000  0.261  0.645

Output
E_form (uncorrected) (eV per atom): -0.541
Symmetry: Pnnm
Crystal system: orthorhombic
Total energy (eV for the cell shown): -12.414

Entry from Alexandria: a relaxed Hg2Cl crystal (PBEsol).

Cell lengths 3.755, 3.581, 11.171 Å; angles 80.78, 90.00, 90.00 degrees
Fractional coordinates of all 6 atoms:
Cl  0.750  0.882  0.236
Cl  0.250  0.118  0.764
Hg  0.250  0.452  0.096
Hg  0.250  0.780  0.439
Hg  0.750  0.548  0.904
Hg  0.750  0.220  0.561

Output
E_form (uncorrected) (eV per atom): -0.198
Energy above the lowest structure with this stoichiometry (meV/atom): 98.8
Symmetry: Cmcm
Crystal system: orthorhombic
Total energy (eV for the cell shown): -7.471

Which of these has the highest total energy?
number 4

Which value of E_form (uncorrected) does entry 2 give?
0.082 eV per atom

E_form (uncorrected) of number 2 (HgCl3)?
0.082 eV per atom